one:
Crystalline LuZr2Mo at its relaxed geometry. Source: Alexandria, functional GGA-PBE.

abc: 3.4426 3.4426 7.5592
angles: 90.00 90.00 90.00
With the nearest neighbours (Å) after each atom.
Sites, in units of the cell vectors:
Zr 0.0000 0.0000 0.2032  4 Mo 2.88, 1 Zr 3.07
Zr 0.0000 0.0000 0.7968  4 Mo 2.88, 1 Zr 3.07
Mo 0.5000 0.5000 0.0000  8 Zr 2.88
Lu 0.5000 0.5000 0.5000  8 Zr 3.31, 4 Lu 3.44

The density of states at the Fermi level is 6.25 states/eV per cell.

two:
Crystalline LuZr2Mo at its relaxed geometry. Source: Alexandria, functional GGA-PBE.

abc: 3.3077 3.3077 9.7846
angles: 80.27 80.27 60.00
With the nearest neighbours (Å) after each atom.
Sites, in units of the cell vectors:
Zr 0.2631 0.2631 0.2108  3 Mo 2.78
Zr 0.7369 0.7369 0.7892  3 Mo 2.78
Mo 0.0000 0.0000 0.0000  6 Zr 2.78
Lu 0.5000 0.5000 0.5000  6 Lu 3.31, 6 Zr 3.37

The density of states at the Fermi level is 5.41 states/eV per cell.

Ordering by calculated energy gives the sequence one, two, with the first entry being the most stable.

one:
Crystalline LuPaN at its relaxed geometry. Source: Alexandria, functional GGA-PBE.

abc: 3.1620 3.1620 6.8044
angles: 103.44 103.44 90.00
With the nearest neighbours (Å) after each atom.
Sites, in units of the cell vectors:
N 0.4894 0.4894 0.9787  1 Pa 2.15, 4 Lu 2.32
Lu 0.0382 0.0382 0.0764  4 N 2.32
Pa 0.3224 0.3224 0.6449  1 N 2.15

The density of states at the Fermi level is 3.37 states/eV per cell.

two:
Crystalline LuPaN at its relaxed geometry. Source: Alexandria, functional GGA-PBE.

abc: 3.3368 3.3368 6.0627
angles: 90.00 90.00 120.00
With the nearest neighbours (Å) after each atom.
Sites, in units of the cell vectors:
Lu 0.3333 0.6667 0.5603  3 N 2.33
Pa 0.0000 0.0000 0.0955  3 N 2.45
N 0.6667 0.3333 0.3441  3 Lu 2.33, 3 Pa 2.45

The density of states at the Fermi level is 5.10 states/eV per cell.

Ordering by calculated energy gives the sequence two, one, with the first entry being the most stable.

one:
Crystalline LuPuN at its relaxed geometry. Source: Alexandria, functional GGA-PBE.

abc: 4.4705 4.4705 4.8653
angles: 117.35 117.35 90.00
With the nearest neighbours (Å) after each atom.
Sites, in units of the cell vectors:
Lu 0.3386 0.3386 0.6771  1 N 2.07
Pu 0.8936 0.8936 0.7871  1 N 2.04
N 0.6179 0.6179 0.2358  1 Pu 2.04, 1 Lu 2.07

The density of states at the Fermi level is 10.15 states/eV per cell.

two:
Crystalline LuPuN at its relaxed geometry. Source: Alexandria, functional GGA-PBE.

abc: 6.0770 3.3740 3.3740
angles: 120.00 90.00 90.00
With the nearest neighbours (Å) after each atom.
Sites, in units of the cell vectors:
Pu 0.5673 0.6667 0.3333  3 N 2.46
N 0.3200 0.3333 0.6667  3 Lu 2.32, 3 Pu 2.46
Lu 0.1127 0.0000 0.0000  3 N 2.32

The density of states at the Fermi level is 4.93 states/eV per cell.

Ordering by calculated energy gives the sequence two, one, with the first entry being the most stable.

one:
Crystalline LuSc2N at its relaxed geometry. Source: Alexandria, functional GGA-PBE.

abc: 3.2665 3.2665 8.5447
angles: 78.98 78.98 60.00
With the nearest neighbours (Å) after each atom.
Sites, in units of the cell vectors:
Sc 0.7153 0.7153 0.8540  3 N 2.24
Sc 0.2847 0.2847 0.1460  3 N 2.24
N 0.0000 0.0000 0.0000  6 Sc 2.24
Lu 0.5000 0.5000 0.5000  6 Lu 3.27, 6 Sc 3.50

The density of states at the Fermi level is 4.74 states/eV per cell.

two:
Crystalline LuSc2N at its relaxed geometry. Source: Alexandria, functional GGA-PBE.

abc: 2.9897 2.9897 8.0957
angles: 90.00 90.00 90.00
With the nearest neighbours (Å) after each atom.
Sites, in units of the cell vectors:
Sc 0.0000 0.0000 0.8437  4 N 2.46, 1 Sc 2.53
Sc 0.0000 0.0000 0.1563  4 N 2.46, 1 Sc 2.53
Lu 0.5000 0.5000 0.5000  4 Lu 2.99
N 0.5000 0.5000 0.0000  8 Sc 2.46

The density of states at the Fermi level is 4.02 states/eV per cell.

Ordering by calculated energy gives the sequence one, two, with the first entry being the most stable.

one:
Crystalline NaLu2Pd at its relaxed geometry. Source: Alexandria, functional GGA-PBE.

abc: 3.3954 3.3954 9.4389
angles: 90.00 90.00 90.00
With the nearest neighbours (Å) after each atom.
Sites, in units of the cell vectors:
Lu 0.0000 0.0000 0.8216  4 Pd 2.93
Lu 0.0000 0.0000 0.1784  4 Pd 2.93
Na 0.5000 0.5000 0.5000  4 Na 3.40
Pd 0.5000 0.5000 0.0000  8 Lu 2.93

The density of states at the Fermi level is 3.19 states/eV per cell.

two:
Crystalline NaLu2Pd at its relaxed geometry. Source: Alexandria, functional GGA-PBE.

abc: 3.9388 3.9388 10.5304
angles: 79.22 79.22 60.00
With the nearest neighbours (Å) after each atom.
Sites, in units of the cell vectors:
Na 0.0000 0.0000 0.0000  2 Lu 3.64, 6 Na 3.94
Pd 0.5000 0.5000 0.5000  6 Lu 2.73
Lu 0.1179 0.1179 0.6463  3 Pd 2.73
Lu 0.8821 0.8821 0.3537  3 Pd 2.73

The density of states at the Fermi level is 2.62 states/eV per cell.

Ordering by calculated energy gives the sequence one, two, with the first entry being the most stable.

one:
Crystalline NaTm2Lu at its relaxed geometry. Source: Alexandria, functional GGA-PBE.

abc: 3.4326 3.4326 12.6719
angles: 82.22 82.22 60.00
With the nearest neighbours (Å) after each atom.
Sites, in units of the cell vectors:
Lu 0.5000 0.5000 0.5000  6 Tm 3.41, 6 Lu 3.43
Tm 0.9071 0.9071 0.2788  3 Lu 3.41, 6 Tm 3.43, 1 Na 3.49
Tm 0.0929 0.0929 0.7212  3 Lu 3.41, 6 Tm 3.43, 1 Na 3.49
Na 0.0000 0.0000 0.0000  6 Na 3.43, 2 Tm 3.49

The density of states at the Fermi level is 4.50 states/eV per cell.

two:
Crystalline NaTm2Lu at its relaxed geometry. Source: Alexandria, functional GGA-PBE.

abc: 3.4734 3.4734 10.3986
angles: 90.00 90.00 90.00
With the nearest neighbours (Å) after each atom.
Sites, in units of the cell vectors:
Na 0.5000 0.5000 0.5000  4 Na 3.47, 8 Tm 3.76
Lu 0.5000 0.5000 0.0000  8 Tm 3.40, 4 Lu 3.47
Tm 0.0000 0.0000 0.2259  4 Lu 3.40, 4 Tm 3.47, 4 Na 3.76
Tm 0.0000 0.0000 0.7741  4 Lu 3.40, 4 Tm 3.47, 4 Na 3.76

The density of states at the Fermi level is 3.69 states/eV per cell.

Ordering by calculated energy gives the sequence two, one, with the first entry being the most stable.

one:
Crystalline LuPa2Nb at its relaxed geometry. Source: Alexandria, functional GGA-PBE.

abc: 3.4414 3.4414 8.3760
angles: 90.00 90.00 90.00
With the nearest neighbours (Å) after each atom.
Sites, in units of the cell vectors:
Pa 0.0000 0.0000 0.7827  4 Nb 3.04, 4 Lu 3.40
Pa 0.0000 0.0000 0.2173  4 Nb 3.04, 4 Lu 3.40
Nb 0.5000 0.5000 0.0000  8 Pa 3.04
Lu 0.5000 0.5000 0.5000  8 Pa 3.40, 4 Lu 3.44

The density of states at the Fermi level is 7.16 states/eV per cell.

two:
Crystalline LuPa2Nb at its relaxed geometry. Source: Alexandria, functional GGA-PBE.

abc: 3.3404 3.3404 10.2623
angles: 80.63 80.63 60.00
With the nearest neighbours (Å) after each atom.
Sites, in units of the cell vectors:
Nb 0.0000 0.0000 0.0000  6 Pa 3.01, 6 Nb 3.34
Pa 0.2570 0.2570 0.2290  3 Nb 3.01, 6 Pa 3.34, 3 Lu 3.34
Pa 0.7430 0.7430 0.7710  3 Nb 3.01, 6 Pa 3.34, 3 Lu 3.34
Lu 0.5000 0.5000 0.5000  6 Lu 3.34, 6 Pa 3.34

The density of states at the Fermi level is 7.78 states/eV per cell.

Ordering by calculated energy gives the sequence one, two, with the first entry being the most stable.

one:
Crystalline Lu2ScNb at its relaxed geometry. Source: Alexandria, functional GGA-PBE.

abc: 4.5764 4.5934 4.5934
angles: 90.00 90.00 90.00
With the nearest neighbours (Å) after each atom.
Sites, in units of the cell vectors:
Sc 0.5000 0.0000 0.0000  8 Lu 3.24, 4 Nb 3.25
Lu 0.0000 0.0000 0.5000  4 Nb 3.24, 4 Sc 3.24, 4 Lu 3.25
Lu 0.0000 0.5000 0.0000  4 Nb 3.24, 4 Sc 3.24, 4 Lu 3.25
Nb 0.5000 0.5000 0.5000  8 Lu 3.24, 4 Sc 3.25

The density of states at the Fermi level is 5.09 states/eV per cell.

two:
Crystalline Lu2ScNb at its relaxed geometry. Source: Alexandria, functional GGA-PBE.

abc: 3.7959 3.7959 6.7546
angles: 90.00 90.00 90.00
With the nearest neighbours (Å) after each atom.
Sites, in units of the cell vectors:
Lu 0.0000 0.0000 0.2274  1 Lu 3.07, 4 Nb 3.09, 4 Sc 3.25
Lu 0.0000 0.0000 0.7726  1 Lu 3.07, 4 Nb 3.09, 4 Sc 3.25
Sc 0.5000 0.5000 0.5000  8 Lu 3.25, 2 Nb 3.38
Nb 0.5000 0.5000 0.0000  8 Lu 3.09, 2 Sc 3.38

The density of states at the Fermi level is 4.52 states/eV per cell.

Ordering by calculated energy gives the sequence one, two, with the first entry being the most stable.

one:
Crystalline TbLu2Nb at its relaxed geometry. Source: Alexandria, functional GGA-PBE.

abc: 3.8073 3.8073 7.2526
angles: 90.00 90.00 90.00
With the nearest neighbours (Å) after each atom.
Sites, in units of the cell vectors:
Lu 0.0000 0.0000 0.2110  1 Lu 3.06, 4 Nb 3.10, 4 Tb 3.41
Lu 0.0000 0.0000 0.7890  1 Lu 3.06, 4 Nb 3.10, 4 Tb 3.41
Nb 0.5000 0.5000 0.0000  8 Lu 3.10
Tb 0.5000 0.5000 0.5000  8 Lu 3.41, 2 Nb 3.63, 4 Tb 3.81

The density of states at the Fermi level is 4.83 states/eV per cell.

two:
Crystalline TbLu2Nb at its relaxed geometry. Source: Alexandria, functional GGA-PBE.

abc: 3.2566 3.2566 11.6456
angles: 81.96 81.96 60.00
With the nearest neighbours (Å) after each atom.
Sites, in units of the cell vectors:
Nb 0.0000 0.0000 0.0000  2 Lu 2.88
Tb 0.5000 0.5000 0.5000  6 Tb 3.26, 6 Lu 3.43
Lu 0.9165 0.9165 0.2504  1 Nb 2.88
Lu 0.0835 0.0835 0.7496  1 Nb 2.88

The density of states at the Fermi level is 6.03 states/eV per cell.

Ordering by calculated energy gives the sequence one, two, with the first entry being the most stable.

one:
Crystalline LuTi2Nb at its relaxed geometry. Source: Alexandria, functional GGA-PBE.

abc: 4.8039 4.8039 4.8039
angles: 60.00 60.00 60.00
With the nearest neighbours (Å) after each atom.
Sites, in units of the cell vectors:
Ti 0.7500 0.7500 0.7500  4 Nb 2.94, 4 Lu 2.94
Ti 0.2500 0.2500 0.2500  4 Nb 2.94, 4 Lu 2.94
Lu 0.0000 0.0000 0.0000  8 Ti 2.94
Nb 0.5000 0.5000 0.5000  8 Ti 2.94

The density of states at the Fermi level is 7.25 states/eV per cell.

two:
Crystalline LuTi2Nb at its relaxed geometry. Source: Alexandria, functional GGA-PBE.

abc: 3.0825 3.0825 9.9922
angles: 81.13 81.13 60.00
With the nearest neighbours (Å) after each atom.
Sites, in units of the cell vectors:
Ti 0.2575 0.2575 0.2274  3 Nb 2.86, 6 Ti 3.08
Ti 0.7425 0.7425 0.7726  3 Nb 2.86, 6 Ti 3.08
Nb 0.0000 0.0000 0.0000  6 Ti 2.86, 6 Nb 3.08
Lu 0.5000 0.5000 0.5000  6 Lu 3.08, 6 Ti 3.22

The density of states at the Fermi level is 7.75 states/eV per cell.

Ordering by calculated energy gives the sequence one, two, with the first entry being the most stable.

one:
Crystalline LuNbZn2 at its relaxed geometry. Source: Alexandria, functional GGA-PBE.

abc: 3.7954 4.4010 4.4010
angles: 90.00 90.00 90.00
With the nearest neighbours (Å) after each atom.
Sites, in units of the cell vectors:
Zn 0.0000 0.0000 0.5000  4 Lu 2.91, 4 Nb 2.91, 4 Zn 3.11
Zn 0.0000 0.5000 0.0000  4 Nb 2.91, 4 Lu 2.91, 4 Zn 3.11
Nb 0.5000 0.5000 0.5000  8 Zn 2.91, 4 Lu 3.11
Lu 0.5000 0.0000 0.0000  8 Zn 2.91, 4 Nb 3.11

The density of states at the Fermi level is 2.83 states/eV per cell.

two:
Crystalline LuNbZn2 at its relaxed geometry. Source: Alexandria, functional GGA-PBE.

abc: 3.3037 3.3037 6.7460
angles: 90.00 90.00 90.00
With the nearest neighbours (Å) after each atom.
Sites, in units of the cell vectors:
Zn 0.0000 0.0000 0.2321  4 Nb 2.81, 4 Lu 2.95, 1 Zn 3.13
Zn 0.0000 0.0000 0.7679  4 Nb 2.81, 4 Lu 2.95, 1 Zn 3.13
Nb 0.5000 0.5000 0.0000  8 Zn 2.81
Lu 0.5000 0.5000 0.5000  8 Zn 2.95, 4 Lu 3.30

The density of states at the Fermi level is 2.12 states/eV per cell.

Ordering by calculated energy gives the sequence two, one, with the first entry being the most stable.

one:
Crystalline NdLuNi at its relaxed geometry. Source: Alexandria, functional GGA-PBE.

abc: 3.4197 3.4197 6.6674
angles: 104.86 104.86 90.00
With the nearest neighbours (Å) after each atom.
Sites, in units of the cell vectors:
Ni 0.6787 0.6787 0.3574  4 Lu 2.81, 4 Nd 3.06
Lu 0.2932 0.2932 0.5865  4 Ni 2.81
Nd 0.0281 0.0281 0.0562  4 Ni 3.06, 1 Lu 3.29, 4 Nd 3.42

The density of states at the Fermi level is 3.36 states/eV per cell.

two:
Crystalline NdLuNi at its relaxed geometry. Source: Alexandria, functional GGA-PBE.

abc: 4.7715 4.7715 4.7715
angles: 60.00 60.00 60.00
With the nearest neighbours (Å) after each atom.
Sites, in units of the cell vectors:
Lu 0.5000 0.5000 0.5000  4 Ni 2.92
Nd 0.0000 0.0000 0.0000  4 Ni 2.92
Ni 0.2500 0.2500 0.2500  4 Lu 2.92, 4 Nd 2.92

The density of states at the Fermi level is 2.48 states/eV per cell.

three:
Crystalline NdLuNi at its relaxed geometry. Source: Alexandria, functional GGA-PBE.

abc: 4.1990 4.5027 4.5027
angles: 120.00 90.00 90.00
With the nearest neighbours (Å) after each atom.
Sites, in units of the cell vectors:
Nd 0.7155 0.6667 0.3333  3 Ni 2.98, 3 Lu 3.33
Ni 0.0633 0.0000 0.0000  3 Lu 2.68, 3 Nd 2.98
Lu 0.2212 0.3333 0.6667  3 Ni 2.68

The density of states at the Fermi level is 2.52 states/eV per cell.

Ordering by calculated energy gives the sequence one, two, three, with the first entry being the most stable.